This record from the Alexandria database describes a geometry-optimized Pm4Sm structure. The functional is PBE-GGA.

Structure (POSCAR):
```
Pm4Sm
1.0
-1.824 1.824 12.896
1.824 -1.824 12.896
1.824 1.824 -12.896
Pm Sm
4 1
Cartesian
0.000 0.000 2.572 Pm
0.000 0.000 7.741 Pm
0.000 0.000 18.051 Pm
0.000 0.000 23.221 Pm
0.000 0.000 12.896 Sm
```

Output
For the calculated formation energy, the calculation gives 15 meV per atom. The value obtained for the total energy is -4.73 eV/atom. The calculation puts the volume at 34.329 A^3/atom. The energy above the lowest structure with this stoichiometry is 5 meV/atom.